Material: Sr2FeIr
Method: DFT, PBE
State: relaxed

Cell: 8.183 3.291 8.161 Å, 90.00 97.81 90.00°
Sites, in units of the cell vectors:
Sr  0.244  0.000  0.222
Sr  0.256  0.500  0.778
Sr  0.744  0.500  0.222
Sr  0.756  0.000  0.778
Fe  0.000  0.000  0.500
Fe  0.500  0.500  0.500
Ir  0.000  0.500  0.000
Ir  0.500  0.000  0.000

- VASP energy: -35.85 eV/cell
- Space-group type: No. 12
- E_form: 0.69 eV per atom